[1]
# Pm2AlSi3Pt4

Crystalline Pm2AlSi3Pt4 at its relaxed geometry (PBE, Alexandria via LeMat-Bulk).

Calculated values
Total energy = -65.1 eV/cell
SG = P-4m2 (115)
Uncorrected formation energy = -1140 meV/atom

POSCAR file:
```
Pm2AlSi3Pt4
1.0
4.2562 0.0000 0.0000
0.0000 4.2562 0.0000
0.0000 0.0000 10.0056
Pm Al Si Pt
2 1 3 4
direct
0.0000 0.5000 0.2482 Pm
0.5000 0.0000 0.7518 Pm
0.5000 0.5000 0.0000 Al
0.0000 0.0000 0.0000 Si
0.0000 0.5000 0.6289 Si
0.5000 0.0000 0.3711 Si
0.0000 0.0000 0.5000 Pt
0.0000 0.5000 0.8684 Pt
0.5000 0.0000 0.1316 Pt
0.5000 0.5000 0.5000 Pt
```

=====

[2]
# Pr4GaPt3

Crystalline Pr4GaPt3 at its relaxed geometry (PBE, Alexandria via LeMat-Bulk).

Calculated values
Total energy = -48.1 eV/cell
E_form = -7.797 eV/f.u.
SG = Pmm2 (25)

POSCAR file:
```
Pr4GaPt3
1.0
4.0162 0.0000 0.0000
0.0000 4.5212 0.0000
0.0000 0.0000 11.1954
Pr Ga Pt
4 1 3
direct
0.0000 0.0000 0.0000 Pr
0.0000 0.5000 0.2681 Pr
0.5000 0.0000 0.4860 Pr
0.5000 0.5000 0.7724 Pr
0.0000 0.0000 0.7046 Ga
0.0000 0.5000 0.5538 Pt
0.5000 0.0000 0.2188 Pt
0.5000 0.5000 0.0451 Pt
```

=====

[3]
# LiYSi2

Crystalline LiYSi2 at its relaxed geometry (PBE, Alexandria via LeMat-Bulk).

Calculated values
Total energy = -86.2 eV/cell
SG = Pnma (62)
ΔE to the lowest computed polymorph = 0.000 eV per atom
Uncorrected formation energy = -579 meV/atom

POSCAR file:
```
LiYSi2
1.0
7.6401 0.0000 0.0000
0.0000 3.7841 0.0000
0.0000 0.0000 10.2326
Li Y Si
4 4 8
direct
0.0099 0.2500 0.1073 Li
0.4901 0.7500 0.6073 Li
0.5099 0.2500 0.3927 Li
0.9901 0.7500 0.8927 Li
0.1396 0.7500 0.3634 Y
0.3604 0.2500 0.8634 Y
0.6396 0.7500 0.1366 Y
0.8604 0.2500 0.6366 Y
0.1558 0.7500 0.6799 Si
0.2335 0.7500 0.0676 Si
0.2665 0.2500 0.5676 Si
0.3442 0.2500 0.1799 Si
0.6558 0.7500 0.8201 Si
0.7335 0.7500 0.4324 Si
0.7665 0.2500 0.9324 Si
0.8442 0.2500 0.3201 Si
```